Entry from Alexandria: an optimized crystal structure of BaIn15Pb4 (PBE).

Values from the calculation:
D(E_F) = 6.30 states/eV/f.u.
E = -2.94 eV per atom

Cell and atoms, written as extended XYZ:
```
20
Lattice="-1.4976 4.8861 -0.1771 -4.8824 -1.4846 0.3266 1.1334 1.1516 22.1809" Properties=species:S:1:pos:R:3 pbc="T T T"
Ba 0.0000 0.0000 0.0000
In -3.1900 1.7008 0.0747
In -2.9537 1.9408 4.6988
In -2.7333 2.1647 9.0117
In -2.5132 2.3883 13.3187
In -2.2928 2.6123 17.6315
In -0.6249 2.5689 2.3360
In -0.4042 2.7932 6.6556
In -0.1821 3.0188 11.0019
In 0.0400 3.2445 15.3482
In 0.2608 3.4687 19.6678
In -2.3173 -0.6164 2.5879
In -2.0966 -0.3921 6.9074
In -1.8745 -0.1665 11.2537
In -1.6524 0.0591 15.6000
In -1.4316 0.2834 19.9196
Pb 0.2263 0.2299 4.4289
Pb 0.4542 0.4614 8.8881
Pb 0.6793 0.6901 13.2928
Pb 0.9071 0.9216 17.7520
```

***

Entry from Alexandria: an optimized crystal structure of Ba2InPb2 (PBE).

Values from the calculation:
energy relative to the lowest polymorph listed for this composition = 58 meV per atom
D(E_F) = 3.17 states/eV/f.u.
E = -3.25 eV per atom

Cell and atoms, written as extended XYZ:
```
5
Lattice="-3.6714 1.1468 3.2572 -0.9198 -5.0840 4.6521 2.4941 0.7541 6.4442" Properties=species:S:1:pos:R:3 pbc="T T T"
Ba 0.4853 -0.1718 6.4573
Ba -2.5823 -3.0113 7.8962
In -2.2956 -1.9686 3.9547
Pb 0.4352 -1.0110 2.7958
Pb -2.5321 -2.1721 11.5576
```

***

Entry from Alexandria: an optimized crystal structure of BaIn2Pb (PBE).

Values from the calculation:
D(E_F) = 2.54 states/eV/f.u.
E = -3.02 eV per atom

Cell and atoms, written as extended XYZ:
```
4
Lattice="3.7180 0.0000 0.0000 0.0000 6.4376 -1.0756 0.0000 -2.5673 6.0007" Properties=species:S:1:pos:R:3 pbc="T T T"
Ba 0.0000 5.9429 -0.6869
In 1.8590 4.6583 2.3140
In 1.8590 2.7233 -0.1483
Pb 1.8590 1.4398 2.8517
```

***

Entry from Alexandria: an optimized crystal structure of Ba3In6Pb5 (PBE).

Values from the calculation:
D(E_F) = 7.11 states/eV/f.u.
E = -3.23 eV per atom

Cell and atoms, written as extended XYZ:
```
28
Lattice="5.3544 0.0000 0.0000 0.0000 11.9039 0.0000 0.0000 0.0000 14.6107" Properties=species:S:1:pos:R:3 pbc="T T T"
Ba 0.0000 2.9663 10.1505
Ba 2.6772 8.9376 2.8452
Ba 2.6772 8.9376 11.7655
Ba 0.0000 3.0008 0.0000
Ba 2.6772 8.9031 7.3053
Ba 0.0000 2.9663 4.4601
In 0.0000 11.6173 12.5997
In 2.6772 0.2866 9.3163
In 2.6772 4.5573 12.4397
In 2.6772 6.7064 0.0000
In 0.0000 5.1975 7.3053
In 0.0000 7.3466 9.4763
In 0.0000 7.3466 5.1344
In 2.6772 11.1436 0.0000
In 0.0000 11.6173 2.0110
In 2.6772 4.5573 2.1710
In 0.0000 0.7603 7.3053
In 2.6772 0.2866 5.2943
Pb 0.0000 6.2288 12.4617
Pb 0.0000 10.4898 9.6118
Pb 0.0000 9.0010 0.0000
Pb 2.6772 5.6751 9.4543
Pb 2.6772 2.9029 7.3053
Pb 0.0000 6.2288 2.1489
Pb 2.6772 5.6751 5.1564
Pb 0.0000 10.4898 4.9989
Pb 2.6772 1.4141 12.3042
Pb 2.6772 1.4141 2.3065
```

***

Entry from Alexandria: an optimized crystal structure of BaIn2Pb (PBE).

Values from the calculation:
D(E_F) = 2.65 states/eV/f.u.
E = -3.05 eV per atom

Cell and atoms, written as extended XYZ:
```
4
Lattice="-4.2682 2.0339 3.8310 -1.4063 -4.7606 3.5200 5.4613 2.3590 -1.2806" Properties=species:S:1:pos:R:3 pbc="T T T"
Ba -0.8220 1.5148 3.1130
In 0.0000 0.0000 0.0000
In -2.8372 -1.3633 3.6755
Pb 0.6089 -1.8825 2.9575
```

***

Entry from Alexandria: an optimized crystal structure of Ba2In6Pb (PBE).

Values from the calculation:
D(E_F) = 6.06 states/eV/f.u.
E = -3.00 eV per atom

Cell and atoms, written as extended XYZ:
```
9
Lattice="-1.0214 -5.0213 4.7251 5.2914 -3.5378 -2.6157 1.0633 4.5440 5.0576" Properties=species:S:1:pos:R:3 pbc="T T T"
Ba 3.0010 -5.1741 4.0165
Ba 2.3323 1.1590 3.1505
In 1.7397 -2.1872 1.5996
In 4.6696 -1.7229 2.7241
In 4.1798 -3.8186 0.3934
In 3.5936 -1.8279 5.5674
In 0.6637 -2.2922 4.4430
In 1.1535 -0.1965 6.7736
Pb 0.0000 0.0000 0.0000
```

***

Entry from Alexandria: an optimized crystal structure of Ba2In15Pb2 (PBE).

Values from the calculation:
D(E_F) = 9.33 states/eV/f.u.
E = -2.89 eV per atom

Cell and atoms, written as extended XYZ:
```
19
Lattice="8.3639 0.0495 0.0441 1.1341 8.2868 0.0441 1.1341 0.9954 8.2269" Properties=species:S:1:pos:R:3 pbc="T T T"
Ba 3.6705 3.2216 2.8706
Ba 6.9616 6.1101 5.4444
In 4.1819 0.0247 0.0220
In 0.5671 0.4977 4.1134
In 0.5671 4.1434 0.0220
In 1.1341 6.1299 2.4647
In 6.2252 2.4862 0.0441
In 3.2728 0.7156 5.8063
In 3.2728 5.8500 0.0441
In 6.2252 0.3293 2.4647
In 1.1341 3.1523 5.8063
In 2.7504 5.9530 5.3045
In 6.2595 5.4939 1.3328
In 6.2595 1.9549 5.3045
In 7.8817 3.3787 3.0106
In 4.3726 3.8378 6.9823
In 4.3726 7.3768 3.0106
Pb 1.0985 0.9641 0.8591
Pb 9.5337 8.3675 7.4560
```

***

Entry from Alexandria: an optimized crystal structure of BaIn2Pb (PBE).

Values from the calculation:
D(E_F) = 2.07 states/eV/f.u.
E = -3.05 eV per atom

Cell and atoms, written as extended XYZ:
```
4
Lattice="4.2300 0.0000 0.0000 0.0000 4.0383 0.0000 0.0000 0.0000 7.7891" Properties=species:S:1:pos:R:3 pbc="T T T"
Ba 2.1150 2.0191 5.8418
In 0.0000 0.0000 0.3816
In 0.0000 0.0000 3.5129
Pb 2.1150 2.0191 1.9473
```

***

Entry from Alexandria: an optimized crystal structure of BaIn2Pb (PBE).

Values from the calculation:
D(E_F) = 2.01 states/eV/f.u.
E = -3.03 eV per atom

Cell and atoms, written as extended XYZ:
```
4
Lattice="-4.3213 -2.5164 -3.3990 2.7681 -1.1497 -5.2513 1.7539 -1.5380 5.5784" Properties=species:S:1:pos:R:3 pbc="T T T"
Ba -1.6720 -2.9438 -1.0729
In 0.0000 0.0000 0.0000
In 1.8727 -2.2604 -1.9990
Pb -0.7766 -1.8331 -4.3252
```

***

Entry from Alexandria: an optimized crystal structure of BaInPb (PBE).

Values from the calculation:
D(E_F) = 1.64 states/eV/f.u.
E = -3.13 eV per atom

Cell and atoms, written as extended XYZ:
```
3
Lattice="-0.0676 -6.4784 2.7350 2.3568 -2.5415 6.1189 -3.6943 5.0362 -3.2316" Properties=species:S:1:pos:R:3 pbc="T T T"
Ba 2.2832 -8.9962 8.8306
In 0.7096 -2.7958 2.7444
Pb 1.5857 -6.2477 6.1327
```

***

Entry from Alexandria: an optimized crystal structure of Ba3In2Pb3 (PBE).

Values from the calculation:
D(E_F) = 2.67 states/eV/f.u.
E = -3.29 eV per atom

Cell and atoms, written as extended XYZ:
```
16
Lattice="-2.8702 4.2462 -0.8663 -3.4990 -5.9121 -1.7910 -6.4128 -1.0630 16.0373" Properties=species:S:1:pos:R:3 pbc="T T T"
Ba -8.1674 -1.5332 3.9507
Ba -6.4351 -1.4974 13.9818
Ba -6.3470 -1.2315 -0.6019
Ba -4.6146 -1.1956 9.4292
Ba -4.5903 0.6656 2.8766
Ba -8.1917 -3.3945 10.5034
In -9.8360 -0.8479 12.8387
In -4.8858 -2.2025 5.3923
In -7.8962 -0.5264 7.9877
In -2.9461 -1.8810 0.5413
Pb -5.5687 0.7039 6.3060
Pb -9.8359 -3.8675 13.6326
Pb -2.9461 1.1386 -0.2526
Pb -7.2134 -3.4328 7.0740
Pb -5.2341 -3.0540 2.3726
Pb -7.5480 0.3251 11.0074
```

***

Entry from Alexandria: an optimized crystal structure of BaInPb2 (PBE).

Values from the calculation:
D(E_F) = 2.20 states/eV/f.u.
E = -3.34 eV per atom

Cell and atoms, written as extended XYZ:
```
4
Lattice="-4.0348 -4.1510 3.6891 -3.7756 -4.7701 -3.1797 6.5016 2.2021 0.0014" Properties=species:S:1:pos:R:3 pbc="T T T"
Ba -4.1662 -4.7587 0.2717
In -0.6851 -3.6234 -1.4556
Pb -7.3530 -8.3986 0.4795
Pb -0.8201 -3.3199 1.9792
```

***

Number 1: E_form -0.0487 eV/atom. Number 2: E_form -0.4548 eV/atom. Number 3: E_form -0.2394 eV/atom. Number 4: E_form -0.3173 eV/atom. Number 5: E_form -0.2744 eV/atom. Number 6: E_form -0.3320 eV/atom. Number 7: E_form -0.1386 eV/atom. Number 8: E_form -0.2747 eV/atom. Number 9: E_form -0.2486 eV/atom. Number 10: E_form -0.3437 eV/atom. Number 11: E_form -0.4915 eV/atom. Number 12: E_form -0.3172 eV/atom.